The following is a DFT calculation (PBE) of a geometry-optimized LaMg3Hg structure.

energy = -22.01 eV per cell
density of states at the Fermi level = 3.8 states/eV/f.u.
relative energy among the computed polymorphs = 0.000 eV per atom
density = 5.21 g cm⁻³

Structure (POSCAR):
```
LaMg3Hg
1.0
6.083 0.000 0.000
0.000 6.159 0.000
-2.854 0.000 7.019
La Mg Hg
2 6 2
Direct
0.220 0.250 0.142 La
0.780 0.750 0.858 La
0.208 0.009 0.688 Mg
0.208 0.491 0.688 Mg
0.326 0.750 0.397 Mg
0.674 0.250 0.603 Mg
0.792 0.509 0.312 Mg
0.792 0.991 0.312 Mg
0.363 0.750 0.038 Hg
0.637 0.250 0.962 Hg
```